## In2FePbO6 (PBE with a Hubbard U)

Data for an optimized crystal structure of In2FePbO6.

total magnetic moment	4.2	μB per formula unit
symmetry	No. 146
VASP energy	-0.425	Ry/atom

Cell and atoms, written as CIF:
```
data_In2FePbO6
_cell_length_a 5.573
_cell_length_b 5.573
_cell_length_c 5.905
_cell_angle_alpha 61.85
_cell_angle_beta 61.85
_cell_angle_gamma 60.00
_space_group_name_H-M_alt 'P 1'
_space_group_IT_number 1
loop_
_space_group_symop_operation_xyz
'x,y,z'
loop_
_atom_site_label
_atom_site_type_symbol
_atom_site_fract_x
_atom_site_fract_y
_atom_site_fract_z
_atom_site_occupancy
Pb1 Pb 0.301 0.301 0.097 1
O1 O 0.095 0.439 0.737 1
O2 O 0.200 0.892 0.262 1
O3 O 0.439 0.729 0.737 1
O4 O 0.645 0.200 0.262 1
O5 O 0.729 0.095 0.737 1
O6 O 0.892 0.645 0.262 1
Fe1 Fe 0.815 0.815 0.555 1
In1 In 0.027 0.027 0.918 1
In2 In 0.517 0.517 0.449 1
```